## Gd2HoErAl2 (PBE)

Data for an optimized crystal structure of Gd2HoErAl2.

Geometry as POSCAR:
```
Gd2HoErAl2
1.0
-0.820 4.553 2.487
-1.941 -0.744 -4.823
-5.601 -2.446 2.632
Al Er Gd Ho
2 1 2 1
Cartesian
-1.194 2.787 0.050
-2.801 -1.223 1.316
0.000 0.000 0.000
-2.965 0.411 -1.730
-5.771 -0.814 -0.411
-3.994 1.564 1.366
```

Summary:
* space group: P-6m2, No. 187



## GdEr2Mg3Al2In (PBE)

Data for an optimized crystal structure of GdEr2Mg3Al2In.

Geometry as POSCAR:
```
GdEr2Mg3Al2In
1.0
-1.545 -4.115 -1.338
6.907 -2.068 -1.617
-2.760 -1.160 6.756
Al Er Gd In Mg
2 2 1 1 3
Cartesian
2.923 -3.822 0.490
-0.326 -3.517 3.305
5.696 -2.574 1.337
0.261 -2.063 6.044
2.329 -1.813 2.885
0.013 -0.010 0.016
4.435 -3.617 -1.888
0.248 -2.852 0.596
-2.854 -2.932 4.425
```

Summary:
* space group: Amm2, No. 38



## GdEr2Al3Si2Ir (PBE)

Data for an optimized crystal structure of GdEr2Al3Si2Ir.

Geometry as POSCAR:
```
GdEr2Al3Si2Ir
1.0
-0.372 -3.992 1.298
6.872 -0.634 0.020
-3.299 2.150 5.667
Al Er Gd Ir Si
3 2 1 1 2
Cartesian
5.909 -2.128 1.991
2.555 -0.833 5.012
-1.879 0.004 6.315
4.018 -0.369 0.018
-1.924 1.258 3.317
1.491 0.633 2.374
3.557 1.510 5.664
3.316 -1.706 2.544
-0.112 -0.768 4.447
```

Summary:
* space group: Amm2, No. 38



## Gd2ErAl3Si2Ir (PBE)

Data for an optimized crystal structure of Gd2ErAl3Si2Ir.

Geometry as POSCAR:
```
Gd2ErAl3Si2Ir
1.0
-3.357 0.120 -2.568
-1.731 -6.415 1.962
-2.469 5.456 3.483
Al Er Gd Ir Si
3 1 2 1 2
Cartesian
-2.084 -1.427 -0.824
-2.255 1.323 -0.471
-4.899 -0.675 2.891
-1.740 -0.397 2.256
-3.169 -3.227 3.992
-3.476 1.710 4.624
-0.018 -0.004 0.023
-3.655 -2.374 1.185
-3.898 1.536 1.686
```

Summary:
* space group: Amm2, No. 38



## GdEr2Mg4Al2 (PBE)

Data for an optimized crystal structure of GdEr2Mg4Al2.

Geometry as POSCAR:
```
GdEr2Mg4Al2
1.0
-0.206 -1.484 4.313
1.793 -6.888 -2.284
5.340 4.863 1.928
Al Er Gd Mg
2 2 1 4
Cartesian
2.858 -3.725 1.272
4.049 0.221 2.686
4.118 -4.760 -1.440
6.114 1.854 0.930
4.024 -1.143 -0.201
1.244 -5.913 0.442
0.024 -0.007 -0.001
1.679 -1.248 2.068
3.907 2.908 3.604
```

Summary:
* space group: Amm2, No. 38



## Gd2ErMg3Al2Zn (PBE)

Data for an optimized crystal structure of Gd2ErMg3Al2Zn.

Geometry as POSCAR:
```
Gd2ErMg3Al2Zn
1.0
-2.260 3.321 -2.001
-2.035 -4.608 -5.350
-4.230 0.716 5.966
Al Er Gd Mg Zn
2 1 2 3 1
Cartesian
-3.908 -1.171 -2.561
-4.634 0.589 1.178
-3.643 -2.263 0.358
-0.861 -1.935 -2.241
-1.780 0.295 2.500
-2.638 0.723 -0.852
-6.372 -2.403 -1.823
-6.902 -1.119 0.906
-6.238 -3.876 0.614
```

Summary:
* space group: Amm2, No. 38



## Gd2ErAl3Ni3 (PBE)

Data for an optimized crystal structure of Gd2ErAl3Ni3.

Geometry as POSCAR:
```
Gd2ErAl3Ni3
1.0
-3.663 -0.720 -1.348
0.820 -6.731 1.365
-2.603 4.229 4.815
Al Er Gd Ni
3 1 2 3
Cartesian
-2.251 -0.948 0.779
-3.004 -3.842 4.371
-3.802 -1.288 5.175
-1.043 -1.464 3.616
0.340 -2.805 0.573
-1.085 1.760 2.010
-2.165 -3.409 1.859
-3.286 0.180 2.989
-1.776 -2.493 6.158
```

Summary:
* space group: Amm2, No. 38



## GdErAlNi2 (PBE)

Data for an optimized crystal structure of GdErAlNi2.

Geometry as POSCAR:
```
GdErAlNi2
1.0
-1.908 -4.348 -2.508
1.785 -3.914 3.214
-3.178 4.270 0.710
Al Er Gd Ni
1 1 1 2
Cartesian
0.000 -0.002 0.000
-0.733 -2.277 2.172
-2.568 -1.716 -0.756
-1.247 -4.148 -0.066
-2.054 0.158 1.482
```

Summary:
* space group: Imm2, No. 44



## GdErAl2Pd4 (PBE)

Data for an optimized crystal structure of GdErAl2Pd4.

Geometry as POSCAR:
```
GdErAl2Pd4
1.0
-2.349 -3.191 1.835
3.457 1.649 2.097
-5.375 6.234 3.958
Al Er Gd Pd
2 1 1 4
Cartesian
0.166 1.608 3.008
-2.499 4.698 4.970
-2.688 3.117 1.979
-0.414 -1.577 1.922
-0.934 1.083 0.688
-2.208 0.503 3.243
-3.995 2.576 4.559
-4.441 5.151 3.270
```

Summary:
* space group: P-6m2, No. 187



## Gd2ErAl3Si2Pd (PBE)

Data for an optimized crystal structure of Gd2ErAl3Si2Pd.

Geometry as POSCAR:
```
Gd2ErAl3Si2Pd
1.0
4.263 0.000 0.000
0.000 5.977 3.456
0.000 -5.977 3.456
Al Er Gd Pd Si
3 1 2 1 2
Cartesian
2.132 1.419 0.828
2.132 -1.419 0.828
2.132 0.000 5.259
0.000 0.000 2.881
0.000 2.495 5.462
0.000 -2.495 5.462
0.000 0.000 0.031
2.132 1.965 3.447
2.132 -1.965 3.447
```

Summary:
* space group: Amm2, No. 38



## GdErAl2Pt4 (PBE)

Data for an optimized crystal structure of GdErAl2Pt4.

Geometry as POSCAR:
```
GdErAl2Pt4
1.0
-4.298 0.439 0.472
2.117 -3.115 2.168
1.370 5.837 7.049
Al Er Gd Pt
2 1 1 4
Cartesian
0.340 1.448 1.749
1.030 4.388 5.300
-2.160 -0.746 1.037
0.664 0.988 5.127
0.201 -0.983 2.747
-1.709 1.175 3.357
-1.241 3.170 5.766
1.126 2.958 7.507
```

Summary:
* space group: P-6m2, No. 187



## GdEr2Al3Si2Pt (PBE)

Data for an optimized crystal structure of GdEr2Al3Si2Pt.

Geometry as POSCAR:
```
GdEr2Al3Si2Pt
1.0
4.217 0.000 0.000
0.000 5.977 3.447
0.000 -5.977 3.447
Al Er Gd Pt Si
3 2 1 1 2
Cartesian
2.108 4.553 4.261
2.108 0.000 5.261
2.108 -4.553 4.261
0.000 3.483 2.015
0.000 -3.483 2.015
0.000 0.000 2.884
0.000 0.000 6.863
2.108 2.017 3.454
2.108 -2.017 3.454
```

Summary:
* space group: Amm2, No. 38



## GdErAl3Si2 (PBE)

Data for an optimized crystal structure of GdErAl3Si2.

Geometry as POSCAR:
```
GdErAl3Si2
1.0
5.091 -2.025 0.000
5.091 2.025 0.000
-1.272 0.000 6.494
Al Er Gd Si
3 1 1 2
Cartesian
6.613 0.000 2.373
9.537 0.000 3.238
2.307 0.000 4.104
3.648 0.000 1.155
5.264 0.000 5.343
0.764 0.000 0.923
8.142 0.000 5.593
```

Summary:
* space group: Cm, No. 8



## SmGd2ErAl2 (PBE)

Data for an optimized crystal structure of SmGd2ErAl2.

Geometry as POSCAR:
```
SmGd2ErAl2
1.0
-4.651 1.764 1.736
2.902 -3.192 3.025
3.040 5.340 2.718
Al Er Gd Sm
2 1 2 1
Cartesian
-2.133 0.112 2.166
1.520 2.670 1.359
0.000 0.000 0.000
1.130 -0.231 3.261
2.679 2.492 4.647
-0.613 2.782 3.524
```

Summary:
* space group: P-6m2, No. 187



## GdEr2TmAl2 (PBE)

Data for an optimized crystal structure of GdEr2TmAl2.

Geometry as POSCAR:
```
GdEr2TmAl2
1.0
5.204 0.000 0.000
-2.602 4.507 0.000
0.000 0.000 6.594
Al Er Gd Tm
2 2 1 1
Cartesian
2.602 1.502 0.000
0.000 0.000 3.297
0.000 3.005 1.671
0.000 3.005 4.923
0.000 0.000 0.000
2.602 1.502 3.297
```

Summary:
* space group: P-6m2, No. 187



## Er2AlGe (PBE)

Data for an optimized crystal structure of Er2AlGe.

Geometry as POSCAR:
```
Er2AlGe
1.0
3.983 0.000 0.000
0.000 2.165 5.388
0.000 -2.165 5.388
Al Er Ge
1 2 1
Cartesian
0.000 0.000 0.825
0.000 0.000 3.887
1.992 0.000 6.912
1.992 0.000 9.929
```

Summary:
* space group: Amm2, No. 38



## Er11Al2Ge8 (PBE)

Data for an optimized crystal structure of Er11Al2Ge8.

Geometry as POSCAR:
```
Er11Al2Ge8
1.0
-5.470 5.470 8.001
5.470 -5.470 8.001
5.470 5.470 -8.001
Al Er Ge
4 22 16
Cartesian
-1.345 1.345 8.001
1.345 -1.345 8.001
1.345 1.345 8.001
4.125 4.125 0.000
-3.561 3.561 8.001
0.000 0.000 5.347
0.000 0.000 10.656
3.561 -3.561 8.001
-2.719 5.470 4.957
0.000 2.751 3.044
2.751 0.000 3.044
5.470 -2.719 4.957
0.000 3.634 6.366
0.000 3.634 9.637
3.634 0.000 6.366
3.634 0.000 9.637
1.909 1.909 0.000
3.561 3.561 8.001
1.835 5.470 -1.635
1.835 5.470 1.635
5.470 1.835 -1.635
5.470 1.835 1.635
0.000 8.188 3.044
2.719 5.470 4.957
5.470 2.719 4.957
8.188 0.000 3.044
0.000 0.000 1.867
-2.249 2.249 5.212
-2.249 2.249 10.791
2.249 -2.249 5.212
2.249 -2.249 10.791
0.000 0.000 14.135
0.000 3.879 0.000
3.879 0.000 0.000
2.249 2.249 10.791
2.249 2.249 5.212
0.000 5.470 4.001
5.470 0.000 4.001
3.220 3.220 -2.790
3.220 3.220 2.790
0.000 7.060 0.000
7.060 0.000 0.000
```

Summary:
* space group: I4/mmm, No. 139



## HoErAl3Ge2 (PBE)

Data for an optimized crystal structure of HoErAl3Ge2.

Geometry as POSCAR:
```
HoErAl3Ge2
1.0
5.111 -2.029 0.000
5.111 2.029 0.000
-1.149 0.000 6.630
Al Er Ge Ho
3 1 2 1
Cartesian
6.699 0.000 2.493
9.645 0.000 3.312
2.376 0.000 4.133
3.713 0.000 1.218
0.862 0.000 0.936
8.211 0.000 5.699
5.360 0.000 5.413
```

Summary:
* space group: Cm, No. 8



## Ho2ErAl3NiGe2 (PBE)

Data for an optimized crystal structure of Ho2ErAl3NiGe2.

Geometry as POSCAR:
```
Ho2ErAl3NiGe2
1.0
4.159 0.000 0.000
0.000 5.984 3.456
0.000 -5.984 3.456
Al Er Ge Ho Ni
3 1 2 2 1
Cartesian
2.080 1.372 0.794
2.080 -1.372 0.794
2.080 0.000 5.325
0.000 0.000 2.783
2.080 1.990 3.454
2.080 -1.990 3.454
0.000 3.573 2.063
0.000 -3.573 2.063
0.000 0.000 0.004
```

Summary:
* space group: Amm2, No. 38



## Er2MgAl3Ge2Pt (PBE)

Data for an optimized crystal structure of Er2MgAl3Ge2Pt.

Geometry as POSCAR:
```
Er2MgAl3Ge2Pt
1.0
-1.842 3.757 0.155
-2.196 -1.337 6.321
6.066 3.010 -0.843
Al Er Ge Mg Pt
3 2 2 1 1
Cartesian
-2.580 0.866 4.914
-0.025 2.266 1.346
3.715 4.178 -0.544
-0.916 -0.558 2.654
2.545 1.263 -0.348
-0.333 2.006 3.985
2.361 3.423 1.649
2.291 0.990 3.243
3.816 1.649 5.401
```

Summary:
* space group: Amm2, No. 38



Values of VASP energy, in order: -0.3368, -0.2586, -0.4286, -0.4287, -0.2404, -0.2461, -0.3856, -0.3947, -0.4132, -0.3940, -0.4634, -0.4068, -0.3687, -0.3380, -0.3355, -0.3717, -0.3905, -0.3498, -0.3796, -0.3603, all in Ry per atom.